Entry a
{
  "formula": "TaIr2Os",
  "functional": "PBE-GGA",
  "state": "relaxed",
  "lattice": [[2.8146, 0.0000, 0.0000], [0.0000, 4.7524, 0.0032], [0.0000, 3.2503, 4.5515]],
  "species": ["Ir", "Ir", "Os", "Ta"],
  "frac_coords": [[0.0000, 0.0000, 0.0000], [0.5000, 0.5000, 0.0000], [0.5000, 0.5000, 0.5000], [0.0000, 0.0000, 0.5000]],
  "space_group": "No. 10",
  "vol_a3_per_cell": 61
}

---

Entry b
{
  "formula": "TaIr2Os",
  "functional": "PBE-GGA",
  "state": "relaxed",
  "lattice": [[-3.0478, 7.5337, 4.5024], [-2.0473, 6.1229, 6.6810], [-0.3512, 7.7184, 5.1595]],
  "species": ["Ir", "Ir", "Os", "Ta"],
  "frac_coords": [[0.9988, 0.9988, 0.9988], [0.2487, 0.2487, 0.2487], [0.5036, 0.5036, 0.5036], [0.7489, 0.7489, 0.7489]],
  "space_group": "No. 160",
  "vol_a3_per_cell": 61
}

---

Entry c
{
  "formula": "TaIr2Os",
  "functional": "PBE-GGA",
  "state": "relaxed",
  "lattice": [[4.8282, -0.0011, -0.0051], [1.6544, 4.5359, 0.0051], [-3.2384, -2.2716, 2.7684]],
  "species": ["Ir", "Ir", "Os", "Ta"],
  "frac_coords": [[0.0000, 0.0000, 0.0000], [0.5000, 0.5000, 0.0000], [0.7500, 0.2500, 0.5000], [0.2500, 0.7500, 0.5000]],
  "space_group": "No. 139",
  "vol_a3_per_cell": 61
}

---

Entry d
{
  "formula": "TaIr2Os",
  "functional": "PBE-GGA",
  "state": "relaxed",
  "lattice": [[-0.1146, -4.4568, -0.1627], [1.4658, -0.1247, 2.3842], [-4.1349, 0.0135, 2.5425]],
  "species": ["Ir", "Ir", "Os", "Ta"],
  "frac_coords": [[0.0000, 0.1251, 0.9601], [0.5000, 0.1250, 0.3024], [0.0000, 0.6249, 0.4477], [0.5000, 0.6250, 0.7899]],
  "space_group": "No. 25",
  "vol_a3_per_cell": 61
}

---

In terms of stability, entry c leads; the second structure lies 4.4 kJ/mol of atoms higher.

---

Entry a
{
  "formula": "TaIr2Os",
  "functional": "PBE-GGA",
  "state": "relaxed",
  "lattice": [[4.8051, 0.0016, -0.0033], [3.9919, 2.6746, -0.0033], [0.8120, 0.2470, 4.7655]],
  "species": ["Ir", "Ir", "Os", "Ta"],
  "frac_coords": [[0.9992, 0.9992, 0.9983], [0.7537, 0.7537, 0.7327], [0.4973, 0.4973, 0.5259], [0.2498, 0.2498, 0.2431]],
  "space_group": "No. 8",
  "vol_a3_per_cell": 61
}

---

Entry b
{
  "formula": "TaIr2Os",
  "functional": "PBE-GGA",
  "state": "relaxed",
  "lattice": [[3.8501, 0.0000, 0.0000], [0.0000, 3.8501, 0.0000], [1.9251, 1.9251, 9.0525]],
  "species": ["Ir", "Ir", "Ir", "Ir", "Os", "Os", "Ta", "Ta"],
  "frac_coords": [[0.6384, 0.1250, 0.2500], [0.1116, 0.6250, 0.2500], [0.3750, 0.3616, 0.7500], [0.8750, 0.8884, 0.7500], [0.0000, 0.0000, 0.0000], [0.7500, 0.2500, 0.5000], [0.5000, 0.5000, 0.0000], [0.2500, 0.7500, 0.5000]],
  "space_group": "No. 122",
  "vol_a3_per_cell": 134
}

---

In terms of stability, entry a leads; the second structure lies 55.3 kJ/mol of atoms higher.